{
  "formula": "BeSb2Rh",
  "functional": "PBE",
  "state": "optimized geometry",
  "e_form_raw_kj_per_mol_fu": 192,
  "magmom_total_mub_per_fu": 0.00,
  "sg": "F-43m (216)",
  "energy_ev_per_atom": -4.332,
  "lattice_angstrom": [[0.0000, 3.3598, 3.3598], [3.3598, 0.0000, 3.3598], [3.3598, 3.3598, 0.0000]],
  "species": ["Be", "Sb", "Sb", "Rh"],
  "fractional_positions": [[0.0000, 0.0000, 0.0000], [0.2500, 0.2500, 0.2500], [0.5000, 0.5000, 0.5000], [0.7500, 0.7500, 0.7500]]
}

---

{
  "formula": "CdPd4Pt",
  "functional": "PBE",
  "state": "optimized geometry",
  "magmom_total_mub_per_fu": 0.00,
  "sg": "Fddd (70)",
  "de_polymorph_kj_per_mol_fu": 0,
  "energy_ev_per_atom": -4.805,
  "formation_energy_ev_per_atom": -0.184,
  "lattice_angstrom": [[0.0000, 3.9456, 8.4644], [2.8806, 0.0000, 8.4644], [2.8806, 3.9456, 0.0000]],
  "species": ["Cd", "Cd", "Pd", "Pd", "Pd", "Pd", "Pd", "Pd", "Pd", "Pd", "Pt", "Pt"],
  "fractional_positions": [[0.1250, 0.1250, 0.1250], [0.8750, 0.8750, 0.8750], [0.0447, 0.0447, 0.7053], [0.2117, 0.2117, 0.5383], [0.2947, 0.2947, 0.9553], [0.4617, 0.4617, 0.7883], [0.5383, 0.5383, 0.2117], [0.7053, 0.7053, 0.0447], [0.7883, 0.7883, 0.4617], [0.9553, 0.9553, 0.2947], [0.3750, 0.3750, 0.3750], [0.6250, 0.6250, 0.6250]]
}

---

{
  "formula": "SmBi2Pd2",
  "functional": "PBE",
  "state": "optimized geometry",
  "magmom_total_mub_per_fu": 0.00,
  "sg": "P2_1/m (11)",
  "energy_ev_per_atom": -5.157,
  "formation_energy_ev_per_atom": -0.584,
  "lattice_angstrom": [[4.8991, 0.0000, 0.0000], [0.0000, 4.7032, 0.0000], [-1.8489, 0.0000, 10.9602]],
  "species": ["Sm", "Sm", "Bi", "Bi", "Bi", "Bi", "Pd", "Pd", "Pd", "Pd"],
  "fractional_positions": [[0.1967, 0.2500, 0.3116], [0.8033, 0.7500, 0.6884], [0.2387, 0.2500, 0.9898], [0.2770, 0.2500, 0.6495], [0.7230, 0.7500, 0.3505], [0.7613, 0.7500, 0.0102], [0.2931, 0.7500, 0.1474], [0.3025, 0.7500, 0.5095], [0.6975, 0.2500, 0.4905], [0.7069, 0.2500, 0.8526]]
}

---

{
  "formula": "Na3SrRu",
  "functional": "PBE",
  "state": "optimized geometry",
  "magmom_total_mub_per_fu": 0.00,
  "sg": "Pm-3m (221)",
  "de_polymorph_kj_per_mol_fu": 0,
  "energy_ev_per_atom": -2.196,
  "formation_energy_ev_per_atom": 0.787,
  "lattice_angstrom": [[5.4696, 0.0000, 0.0000], [0.0000, 5.4696, 0.0000], [0.0000, 0.0000, 5.4696]],
  "species": ["Na", "Na", "Na", "Sr", "Ru"],
  "fractional_positions": [[0.0000, 0.0000, 0.5000], [0.0000, 0.5000, 0.0000], [0.5000, 0.0000, 0.0000], [0.5000, 0.5000, 0.5000], [0.0000, 0.0000, 0.0000]]
}